(1)
First-principles (PBE-GGA) data for an optimized crystal structure of SrMgCd, as listed in Alexandria via LeMat-Bulk.

```
SrMgCd
1.0
4.7527 0.0081 0.0059
0.0061 6.0596 0.6880
2.3840 3.8909 7.1446
Mg Sr Cd
2 2 2
direct
0.7973 0.7181 0.6787
0.6219 0.9095 0.0302
0.3230 0.2394 0.6287
0.0963 0.3890 0.0797
0.4290 0.9079 0.4147
0.9904 0.7205 0.2938
```

- calculated formation energy (eV per atom) = -0.173
- magnetization (μB/cell) = 0.00
- E (eV per atom) = -1.57

---

(2)
First-principles (PBE-GGA) data for an optimized crystal structure of Sr2Mg12Cd7, as listed in Alexandria via LeMat-Bulk.

```
Sr2Mg12Cd7
1.0
-3.2136 2.8343 1.1019
-5.3505 -2.0793 -10.2558
-2.5661 -6.5656 9.4043
Mg Cd Sr
12 7 2
direct
0.0000 0.9440 0.2296
0.0000 0.2856 0.0560
0.5000 0.2066 0.4472
0.5000 0.7127 0.0935
0.5000 0.2405 0.7934
0.0000 0.7704 0.7144
0.5000 0.5528 0.7595
0.5000 0.3808 0.2873
0.0000 0.4910 0.9469
0.0000 0.0531 0.5441
0.0000 0.4559 0.5090
0.5000 0.9065 0.6192
0.5000 0.4597 0.0883
0.0000 0.0577 0.7993
0.0000 0.3333 0.6667
0.5000 0.6286 0.5403
0.0000 0.7416 0.9423
0.0000 0.2007 0.2584
0.5000 0.9117 0.3714
0.5000 0.0000 0.0000
0.0000 0.6667 0.3333
```

- calculated formation energy (eV per atom) = -0.136
- magnetization (μB/cell) = 0.00
- E (eV per atom) = -1.51

---

(3)
First-principles (PBE-GGA) data for an optimized crystal structure of Sr2MgCd, as listed in Alexandria via LeMat-Bulk.

```
Sr2MgCd
1.0
6.6154 -0.0370 0.0000
2.7821 6.0021 0.0000
-4.6988 -2.9826 3.5765
Sr Mg Cd
2 1 1
direct
0.2500 0.7500 0.5000
0.0000 0.0000 0.0000
0.7500 0.2500 0.5000
0.5000 0.5000 0.0000
```

- energy relative to the lowest polymorph listed for this composition (meV/atom) = 133
- calculated formation energy (eV per atom) = -0.059
- magnetization (μB/cell) = 0.00
- E (eV per atom) = -1.53

---

(4)
First-principles (PBE-GGA) data for an optimized crystal structure of Sr5MgCd6, as listed in Alexandria via LeMat-Bulk.

```
Sr5MgCd6
1.0
1.0247 -4.0253 -3.7562
5.6748 -1.8415 7.6979
-9.6694 0.4248 1.0833
Cd Sr Mg
6 5 1
direct
0.2309 0.0753 0.3858
0.7691 0.6142 0.9247
0.2309 0.3858 0.0753
0.2801 0.7774 0.7774
0.7691 0.9247 0.6142
0.7199 0.2226 0.2226
0.5000 0.1737 0.8263
0.0000 0.3351 0.6649
0.5000 0.5000 0.5000
0.5000 0.8263 0.1737
0.0000 0.6649 0.3351
0.0000 0.0000 0.0000
```

- calculated formation energy (eV per atom) = -0.275
- magnetization (μB/cell) = 0.00
- E (eV per atom) = -1.57

---

(5)
First-principles (PBE-GGA) data for an optimized crystal structure of Sr2Mg2Cd, as listed in Alexandria via LeMat-Bulk.

```
Sr2Mg2Cd
1.0
-6.2583 2.8638 6.2181
-4.7075 -7.9171 -1.0917
2.4099 -1.8872 3.2946
Cd Mg Sr
2 4 4
direct
0.5000 0.5000 0.0000
0.0000 0.0000 0.0000
0.1238 0.6238 0.5000
0.8762 0.3762 0.5000
0.6238 0.8762 0.5000
0.3762 0.1238 0.5000
0.6675 0.1675 0.0000
0.3325 0.8325 0.0000
0.8325 0.6675 0.0000
0.1675 0.3325 0.0000
```

- energy relative to the lowest polymorph listed for this composition (meV/atom) = 273
- calculated formation energy (eV per atom) = 0.117
- magnetization (μB/cell) = 0.00
- E (eV per atom) = -1.38

---

(6)
First-principles (PBE-GGA) data for an optimized crystal structure of SrMgCd2, as listed in Alexandria via LeMat-Bulk.

```
SrMgCd2
1.0
5.1151 0.0000 0.0000
-2.5576 4.4298 0.0000
0.0000 0.0000 9.9108
Sr Cd Mg
2 4 2
direct
0.6667 0.3333 0.7500
0.3333 0.6667 0.2500
0.6667 0.3333 0.4149
0.3333 0.6667 0.5851
0.3333 0.6667 0.9149
0.6667 0.3333 0.0851
0.0000 0.0000 0.0000
0.0000 0.0000 0.5000
```

- calculated formation energy (eV per atom) = -0.250
- magnetization (μB/cell) = 0.00
- E (eV per atom) = -1.53

---

Q: Look up the magnetization of the fifth one.
A: 0.00 μB/cell